# CsTl6Pb6, relaxed, DFT PBE
data_CsTl6Pb6
_cell_length_a 6.766
_cell_length_b 6.766
_cell_length_c 11.226
_cell_angle_alpha 90.00
_cell_angle_beta 90.00
_cell_angle_gamma 119.91
_symmetry_space_group_name_H-M 'P 1'
_symmetry_Int_Tables_number 1
loop_
_symmetry_equiv_pos_as_xyz
'x,y,z'
loop_
_atom_site_label
_atom_site_fract_x
_atom_site_fract_y
_atom_site_fract_z
_atom_site_occupancy
Cs1 0.000 0.000 0.000 1
Tl1 0.000 0.000 0.357 1
Tl2 0.000 0.000 0.643 1
Tl3 0.332 0.668 0.500 1
Tl4 0.335 0.665 0.000 1
Tl5 0.665 0.335 0.000 1
Tl6 0.668 0.332 0.500 1
Pb1 0.000 0.500 0.247 1
Pb2 0.000 0.500 0.753 1
Pb3 0.500 0.000 0.247 1
Pb4 0.500 0.000 0.753 1
Pb5 0.500 0.500 0.249 1
Pb6 0.500 0.500 0.751 1
# E	-37.53	eV per cell
# space-group type	No. 65
# volume	446	Å³/cell



# PmSmTmTh, relaxed, DFT PBE
data_PmSmTmTh
_cell_length_a 5.703
_cell_length_b 5.703
_cell_length_c 5.703
_cell_angle_alpha 60.00
_cell_angle_beta 60.00
_cell_angle_gamma 60.00
_symmetry_space_group_name_H-M 'P 1'
_symmetry_Int_Tables_number 1
loop_
_symmetry_equiv_pos_as_xyz
'x,y,z'
loop_
_atom_site_label
_atom_site_fract_x
_atom_site_fract_y
_atom_site_fract_z
_atom_site_occupancy
Pm1 0.000 0.000 0.000 1
Sm1 0.750 0.750 0.750 1
Tm1 0.500 0.500 0.500 1
Th1 0.250 0.250 0.250 1
# E	-20.70	eV per cell
# space-group type	No. 216
# volume	131	Å³/cell



# Li2ZrPb, relaxed, DFT PBE
data_Li2ZrPb
_cell_length_a 4.200
_cell_length_b 4.236
_cell_length_c 4.684
_cell_angle_alpha 90.00
_cell_angle_beta 90.00
_cell_angle_gamma 90.00
_symmetry_space_group_name_H-M 'P 1'
_symmetry_Int_Tables_number 1
loop_
_symmetry_equiv_pos_as_xyz
'x,y,z'
loop_
_atom_site_label
_atom_site_fract_x
_atom_site_fract_y
_atom_site_fract_z
_atom_site_occupancy
Li1 0.000 0.000 0.000 1
Li2 0.500 0.500 0.000 1
Zr1 0.000 0.500 0.500 1
Pb1 0.500 0.000 0.500 1
# E	-16.56	eV per cell
# space-group type	No. 47
# volume	83	Å³/cell



# BS2ClF, relaxed, DFT PBE
data_BS2ClF
_cell_length_a 4.061
_cell_length_b 4.061
_cell_length_c 6.590
_cell_angle_alpha 90.00
_cell_angle_beta 90.00
_cell_angle_gamma 90.00
_symmetry_space_group_name_H-M 'P 1'
_symmetry_Int_Tables_number 1
loop_
_symmetry_equiv_pos_as_xyz
'x,y,z'
loop_
_atom_site_label
_atom_site_fract_x
_atom_site_fract_y
_atom_site_fract_z
_atom_site_occupancy
B1 0.000 0.000 0.000 1
S1 0.000 0.500 0.500 1
S2 0.500 0.000 0.500 1
Cl1 0.500 0.500 0.000 1
F1 0.500 0.500 0.500 1
# raw formation energy	1.329	eV per atom
# space-group type	No. 123
# volume	109	Å³/cell



# Pa2SCl2, relaxed, DFT PBE
data_Pa2SCl2
_cell_length_a 10.035
_cell_length_b 10.035
_cell_length_c 10.035
_cell_angle_alpha 22.84
_cell_angle_beta 22.84
_cell_angle_gamma 22.84
_symmetry_space_group_name_H-M 'P 1'
_symmetry_Int_Tables_number 1
loop_
_symmetry_equiv_pos_as_xyz
'x,y,z'
loop_
_atom_site_label
_atom_site_fract_x
_atom_site_fract_y
_atom_site_fract_z
_atom_site_occupancy
Pa1 0.120 0.120 0.120 1
Pa2 0.880 0.880 0.880 1
S1 0.500 0.500 0.500 1
Cl1 0.271 0.271 0.271 1
Cl2 0.729 0.729 0.729 1
# raw formation energy	-1.562	eV per atom
# space-group type	No. 166
# volume	134	Å³/cell



# La4MoW, relaxed, DFT PBE
data_La4MoW
_cell_length_a 6.152
_cell_length_b 6.152
_cell_length_c 6.152
_cell_angle_alpha 60.00
_cell_angle_beta 60.00
_cell_angle_gamma 60.00
_symmetry_space_group_name_H-M 'P 1'
_symmetry_Int_Tables_number 1
loop_
_symmetry_equiv_pos_as_xyz
'x,y,z'
loop_
_atom_site_label
_atom_site_fract_x
_atom_site_fract_y
_atom_site_fract_z
_atom_site_occupancy
La1 0.125 0.125 0.125 1
La2 0.125 0.125 0.624 1
La3 0.125 0.624 0.125 1
La4 0.624 0.125 0.125 1
Mo1 0.750 0.750 0.750 1
W1 0.500 0.500 0.500 1
# E	-35.23	eV per cell
# space-group type	No. 216
# volume	165	Å³/cell



volume of number 6 (La4MoW)? 165 Å³/cell



The lowest volume belongs to which entry? Li2ZrPb



The lowest volume belongs to which entry? Li2ZrPb



The lowest volume belongs to which entry? Li2ZrPb